Computed, not measured: a relaxed CaInBr2 crystal at the PBE-GGA level of DFT.

Cell lengths 9.5865, 4.1281, 15.4353 Å; angles 90.00, 107.83, 90.00 degrees
With the nearest neighbours (Å) after each atom.
Sites, in units of the cell vectors:
Br (0.9632, 0.5000, 0.3062)  2 Ca 2.83-2.87, 1 In 3.12
In (0.6277, 0.0000, 0.7028)  2 In 3.09, 1 Br 3.12
In (0.6277, 0.5000, 0.2028)  2 In 3.09, 1 Br 3.12
Br (0.8496, 0.5000, 0.0187)  2 Ca 2.83
Ca (0.0387, 0.5000, 0.4982)  6 Br 2.83-3.09
Ca (0.2726, 0.0000, 0.8303)  5 Br 2.87-3.07
Br (0.2652, 0.5000, 0.9759)  4 Ca 3.07-3.09
Br (0.2295, 0.0000, 0.1897)  3 Ca 2.93-2.96
Ca (0.0387, 0.0000, 0.9982)  6 Br 2.83-3.09
Br (0.8496, 0.0000, 0.5187)  2 Ca 2.83
Br (0.9632, 0.0000, 0.8062)  2 Ca 2.83-2.87, 1 In 3.12
In (0.5732, 0.5000, 0.8378)  2 In 3.09, 2 Br 3.21-3.39
Ca (0.2726, 0.5000, 0.3303)  5 Br 2.87-3.07
Br (0.2295, 0.5000, 0.6897)  3 Ca 2.93-2.96
In (0.5732, 0.0000, 0.3378)  2 In 3.09, 2 Br 3.21-3.39
Br (0.2652, 0.0000, 0.4759)  4 Ca 3.07-3.09

- total energy (eV per atom) = -3.2586
- crystal system = monoclinic
- ΔE to the lowest computed polymorph (eV/f.u.) = 0.165
- formation energy from raw total energies (eV/atom) = -1.237
- space group = Cm, No. 8
- density (g/cm³) = 3.6


Computed, not measured: a relaxed PaTl2GeO8 crystal at the PBE-GGA level of DFT.

Cell lengths 4.9891, 4.9898, 6.7508 Å; angles 90.00, 90.00, 90.42 degrees
With the nearest neighbours (Å) after each atom.
Sites, in units of the cell vectors:
Pa (0.0000, 0.0000, 0.5000)  6 O 2.10-2.26
O (0.7004, 0.7022, 0.5000)  1 Pa 2.10, 2 Tl 2.27
O (0.2996, 0.2978, 0.5000)  1 Pa 2.10, 2 Tl 2.27
O (0.1761, 0.8227, 0.7782)  1 Ge 1.95
O (0.2719, 0.2704, 0.0000)  1 Ge 1.91
Tl (0.5000, 0.5000, 0.7638)  6 O 2.27-2.29
O (0.8239, 0.1773, 0.2218)  1 Ge 1.95
O (0.7281, 0.7296, 0.0000)  1 Ge 1.91
O (0.1761, 0.8227, 0.2218)  1 Ge 1.95
Ge (0.0000, 0.0000, 0.0000)  6 O 1.91-1.95
Tl (0.5000, 0.5000, 0.2362)  6 O 2.27-2.29
O (0.8239, 0.1773, 0.7782)  1 Ge 1.95

- total energy (eV per atom) = -6.4188
- crystal system = monoclinic
- formation energy from raw total energies (eV/atom) = -1.543
- space group = P2/m, No. 10
- density (g/cm³) = 8.3


Computed, not measured: a relaxed PuZrN3 crystal at the PBE-GGA level of DFT.

Cell lengths 5.5220, 5.5220, 6.2209 Å; angles 63.65, 63.65, 60.00 degrees
With the nearest neighbours (Å) after each atom.
Sites, in units of the cell vectors:
Zr (0.1447, 0.1447, 0.5658)  6 N 2.16-2.34
N (0.2417, 0.9593, 0.2504)  2 Zr 2.16-2.34, 2 Pu 2.26-2.27
Zr (0.8553, 0.8553, 0.4342)  6 N 2.16-2.34
Pu (0.6520, 0.6520, 0.0440)  6 N 2.26-2.27
N (0.0407, 0.7583, 0.7496)  2 Zr 2.16-2.34, 2 Pu 2.26-2.27
Pu (0.3480, 0.3480, 0.9560)  6 N 2.26-2.27
N (0.4514, 0.0407, 0.7496)  2 Zr 2.16-2.34, 2 Pu 2.26-2.27
N (0.7583, 0.4514, 0.7496)  2 Zr 2.16-2.34, 2 Pu 2.26-2.27
N (0.9593, 0.5486, 0.2504)  2 Zr 2.16-2.34, 2 Pu 2.26-2.27
N (0.5486, 0.2417, 0.2504)  2 Zr 2.16-2.34, 2 Pu 2.26-2.27

- total energy (eV per atom) = -10.4641
- crystal system = trigonal
- formation energy from raw total energies (eV/atom) = -0.893
- space group = R32, No. 155
- density (g/cm³) = 8.9


Computed, not measured: a relaxed LaScTl2O6 crystal at the PBE-GGA level of DFT.

Cell lengths 5.8148, 5.8149, 6.1181 Å; angles 61.63, 61.63, 60.00 degrees
With the nearest neighbours (Å) after each atom.
Sites, in units of the cell vectors:
O (0.1403, 0.3975, 0.7674)  1 Sc 2.18, 1 Tl 2.22, 1 La 2.35
O (0.5942, 0.2194, 0.2452)  1 Sc 2.14, 1 Tl 2.25
O (0.9412, 0.5942, 0.2452)  1 Sc 2.14, 1 Tl 2.25
La (0.8029, 0.8030, 0.5912)  6 O 2.35-2.54
O (0.6948, 0.1402, 0.7675)  1 Sc 2.18, 1 Tl 2.22, 1 La 2.35
Sc (0.3153, 0.3154, 0.0539)  6 O 2.14-2.18
O (0.3975, 0.6948, 0.7674)  1 Sc 2.18, 1 Tl 2.22, 1 La 2.35
Tl (0.5319, 0.5318, 0.4045)  6 O 2.25-2.46
O (0.2194, 0.9412, 0.2452)  1 Sc 2.14, 1 Tl 2.25
Tl (0.0241, 0.0241, 0.9277)  6 O 2.22-2.44

- total energy (eV per atom) = -6.5965
- crystal system = trigonal
- formation energy from raw total energies (eV/atom) = -2.022
- space group = R3, No. 146
- density (g/cm³) = 7.6


Computed, not measured: a relaxed LiDyTa4N8 crystal at the PBE-GGA level of DFT.

Cell lengths 6.3243, 6.3243, 6.3473 Å; angles 60.12, 60.12, 60.00 degrees
With the nearest neighbours (Å) after each atom.
Sites, in units of the cell vectors:
N (0.2427, 0.2427, 0.7114)  2 Ta 1.98, 1 Li 2.19, 1 Dy 2.19
Ta (0.0023, 0.4849, 0.5105)  4 N 1.98-2.20
N (0.2447, 0.7402, 0.2749)  1 Ta 1.95
N (0.8033, 0.2427, 0.7114)  2 Ta 1.98, 1 Li 2.19, 1 Dy 2.19
N (0.2369, 0.2369, 0.2894)  3 Ta 2.10, 1 Dy 2.22
N (0.7402, 0.2447, 0.2749)  1 Ta 1.95
Li (0.0006, 0.0006, 0.9982)  6 N 2.19-2.34
N (0.7402, 0.7402, 0.2749)  1 Ta 1.95
Dy (0.3797, 0.3797, 0.8610)  4 N 2.19-2.22
N (0.2427, 0.8033, 0.7114)  2 Ta 1.98, 1 Li 2.19, 1 Dy 2.19
N (0.7576, 0.7576, 0.7273)  4 Ta 2.11-2.20
Ta (0.0023, 0.0023, 0.5105)  4 N 1.98-2.20
Ta (0.6221, 0.6221, 0.1337)  4 N 1.95-2.11
Ta (0.4849, 0.0023, 0.5105)  4 N 1.98-2.20

- total energy (eV per atom) = -9.6372
- crystal system = trigonal
- formation energy from raw total energies (eV/atom) = -1.028
- space group = R3m, No. 160
- density (g/cm³) = 9.3


Computed, not measured: a relaxed Ac2Er3Rh2 crystal at the PBE-GGA level of DFT.

Cell lengths 3.9224, 6.5698, 8.6579 Å; angles 73.20, 76.91, 72.63 degrees
With the nearest neighbours (Å) after each atom.
Sites, in units of the cell vectors:
Ac (0.8388, 0.5267, 0.7957)  2 Rh 3.06
Er (0.3767, 0.8211, 0.4255)  3 Rh 2.78-2.96
Er (0.6233, 0.1789, 0.5745)  3 Rh 2.78-2.96
Er (0.5000, 0.0000, 0.0000)  4 Rh 3.00
Rh (0.1673, 0.9114, 0.7540)  5 Er 2.78-3.00, 2 Ac 3.06
Rh (0.8327, 0.0886, 0.2460)  5 Er 2.78-3.00, 2 Ac 3.06
Ac (0.1612, 0.4733, 0.2043)  2 Rh 3.06

- total energy (eV per atom) = -5.7789
- crystal system = monoclinic
- formation energy from the elements (eV per atom) = -0.55
- space group = C2/m, No. 12
- density (g/cm³) = 9.6


Computed, not measured: a relaxed SrTa2Br crystal at the PBE-GGA level of DFT.

Cell lengths 3.9913, 3.9913, 13.5512 Å; angles 81.53, 81.53, 90.00 degrees
With the nearest neighbours (Å) after each atom.
Sites, in units of the cell vectors:
Sr (0.0000, 0.0000, 0.0000)  4 Br 2.82
Ta (0.8750, 0.3660, 0.7500)  4 Ta 2.77-2.87
Br (0.2500, 0.7500, 0.5000)  4 Sr 2.82
Ta (0.6340, 0.6250, 0.2500)  4 Ta 2.77-2.87
Ta (0.3750, 0.8840, 0.7500)  4 Ta 2.77-2.87
Br (0.5000, 0.5000, 0.0000)  4 Sr 2.82
Sr (0.7500, 0.2500, 0.5000)  4 Br 2.82
Ta (0.1160, 0.1250, 0.2500)  4 Ta 2.77-2.87

- total energy (eV per atom) = -6.1891
- crystal system = tetragonal
- ΔE to the lowest computed polymorph (eV/f.u.) = 2.033
- formation energy from raw total energies (eV/atom) = 0.576
- space group = I-42d, No. 122
- density (g/cm³) = 8.3


Computed, not measured: a relaxed Ti3TcN crystal at the PBE-GGA level of DFT.

Cell lengths 4.1053, 4.1053, 4.1053 Å; angles 90.00, 90.00, 90.00 degrees
With the nearest neighbours (Å) after each atom.
Sites, in units of the cell vectors:
Ti (0.0000, 0.5000, 0.0000)  2 N 2.05
Ti (0.5000, 0.0000, 0.0000)  2 N 2.05
N (0.0000, 0.0000, 0.0000)  6 Ti 2.05
Tc (0.5000, 0.5000, 0.5000)  12 Ti 2.90
Ti (0.0000, 0.0000, 0.5000)  2 N 2.05

- total energy (eV per atom) = -9.2572
- crystal system = cubic
- ΔE to the lowest computed polymorph (eV/f.u.) = 0.000
- formation energy from raw total energies (eV/atom) = -0.782
- space group = Pm-3m, No. 221
- density (g/cm³) = 6.1